Density functional theory data (PBE) for a relaxed Y2RhAu crystal.

```
Y2RhAu
1.0
5.2359 -1.6492 -3.0045
-1.3298 5.3260 3.0045
-3.5709 -0.1197 5.1378
Y Rh Au
2 1 1
Direct
0.0000 0.2369 0.2369 Y
0.0000 0.7631 0.7631 Y
0.0000 0.0000 0.0000 Rh
0.0000 0.5000 0.5000 Au
```

Computed properties:
Spin magnetization   0.0 Bohr magnetons per cell
Energy relative to the elements   222 meV/atom
VASP energy   -5.6671 eV/atom
Calculated density   8.44 g cm⁻³
SG   Immm, No. 71